No. 1
Compound: Hf3ZnTe
Source: the Alexandria database
Functional: PBE
Structure: relaxed

Output
The energy above the most stable polymorph in this dataset is 0 meV per atom. For the total energy, the calculation gives -6.36 eV/atom.

Structure (POSCAR):
```
Hf3ZnTe
1.0
4.936 0.000 0.000
0.000 4.936 0.000
0.000 0.000 4.936
Zn Te Hf
1 1 3
Cartesian
0.000 0.000 0.000 Zn
2.468 2.468 2.468 Te
0.000 2.468 0.000 Hf
0.000 0.000 2.468 Hf
2.468 0.000 0.000 Hf
```

No. 2
Compound: Rb3NaS2O8
Source: the Alexandria database
Functional: PBE
Structure: relaxed

Output
For the total energy, the calculation gives -5.57 eV/atom.

Structure (POSCAR):
```
Rb3NaS2O8
1.0
-5.370 -2.260 1.108
4.759 -2.145 2.814
-1.013 5.187 5.667
Rb Na S O
3 1 2 8
Cartesian
0.685 1.389 6.150 Rb
-2.309 -0.608 3.441 Rb
0.000 0.000 0.000 Rb
-0.507 2.593 2.834 Na
1.134 -0.910 3.638 S
-2.758 1.691 5.952 S
1.327 -1.899 2.556 O
-2.951 2.681 7.034 O
2.458 -0.548 4.250 O
-4.082 1.329 5.340 O
0.496 0.337 3.090 O
-2.120 0.444 6.500 O
0.244 -1.480 4.708 O
-1.868 2.261 4.883 O
```

No. 3
Compound: Y3TaS
Source: the Alexandria database
Functional: PBE
Structure: relaxed

Output
The energy above the most stable polymorph in this dataset is 0 meV per atom. For the total energy, the calculation gives -7.26 eV/atom.

Structure (POSCAR):
```
Y3TaS
1.0
-2.591 -4.382 0.762
3.106 -1.151 3.940
-3.183 2.443 3.223
Y S Ta
3 1 1
Cartesian
1.553 -0.576 1.970 Y
-1.592 1.222 1.612 Y
-1.296 -2.191 0.381 Y
0.000 0.000 0.000 S
-1.335 -1.545 3.963 Ta
```

No. 4
Compound: Li2SnPb3
Source: the Alexandria database
Functional: PBE
Structure: relaxed

Output
For the total energy, the calculation gives -3.29 eV/atom.

Structure (POSCAR):
```
Li2SnPb3
1.0
-4.328 -2.599 1.409
3.548 -1.932 3.339
-2.790 7.775 8.694
Li Sn Pb
4 2 6
Cartesian
-0.109 3.363 7.740 Li
-2.599 -0.853 2.441 Li
-0.971 4.098 11.003 Li
-3.461 -0.119 5.703 Li
-6.013 3.267 8.030 Sn
2.443 -0.022 5.413 Sn
-0.541 -0.275 4.682 Pb
-3.029 3.520 8.761 Pb
-1.035 -3.448 3.470 Pb
-2.034 2.729 5.407 Pb
-1.536 0.515 8.036 Pb
-2.534 6.692 9.973 Pb
```

No. 5
Compound: GdLuBi2
Source: the Alexandria database
Functional: PBE
Structure: relaxed

Output
The energy above the most stable polymorph in this dataset is 246 meV per atom. For the total energy, the calculation gives -7.16 eV/atom.

Structure (POSCAR):
```
GdLuBi2
1.0
-0.912 -3.623 0.665
2.814 -1.127 -2.282
5.055 -0.117 6.291
Gd Lu Bi
1 1 2
Cartesian
0.951 -2.375 -0.809 Gd
3.479 -2.434 2.337 Lu
3.752 -0.087 4.670 Bi
1.303 -0.030 1.622 Bi
```

No. 6
Compound: FeAsI2N
Source: the Alexandria database
Functional: PBE
Structure: relaxed

Output
The energy above the most stable polymorph in this dataset is 0 meV per atom. For the total energy, the calculation gives -4.32 eV/atom.

Structure (POSCAR):
```
FeAsI2N
1.0
5.387 0.000 0.000
0.000 5.387 0.000
0.000 0.000 3.506
I As Fe N
2 1 1 1
Cartesian
0.000 2.694 0.000 I
2.694 0.000 0.000 I
2.694 2.694 1.753 As
0.000 0.000 0.000 Fe
0.000 0.000 1.753 N
```

No. 7
Compound: LaNd4Mg
Source: the Alexandria database
Functional: PBE
Structure: relaxed

Output
The energy above the most stable polymorph in this dataset is 0 meV per atom. For the total energy, the calculation gives -4.29 eV/atom.

Structure (POSCAR):
```
LaNd4Mg
1.0
3.719 0.000 0.000
0.000 3.719 0.000
0.000 0.000 14.661
La Nd Mg
1 4 1
Cartesian
0.000 0.000 0.000 La
1.860 1.860 2.642 Nd
0.000 0.000 9.481 Nd
0.000 0.000 5.180 Nd
1.860 1.860 12.020 Nd
1.860 1.860 7.331 Mg
```

No. 8
Compound: LaNi
Source: the Alexandria database
Functional: PBE
Structure: relaxed

Output
For the total energy, the calculation gives -5.69 eV/atom.

Structure (POSCAR):
```
LaNi
1.0
-1.227 -2.363 2.803
-1.356 -2.843 -2.991
5.524 -1.258 -1.309
Ni La
2 2
Cartesian
-0.220 -2.256 0.668 Ni
3.161 -4.208 -2.164 Ni
2.646 -3.680 0.722 La
0.295 -2.784 -2.218 La
```

No. 9
Compound: Rb2YZnI6
Source: the Alexandria database
Functional: PBE
Structure: relaxed

Output
For the total energy, the calculation gives -3.01 eV/atom.

Structure (POSCAR):
```
Rb2YZnI6
1.0
8.608 0.000 0.000
0.000 8.608 0.000
4.304 4.304 6.065
I Y Zn Rb
6 1 1 2
Cartesian
4.304 4.304 3.030 I
8.608 8.608 3.035 I
2.146 2.146 0.000 I
6.463 6.463 0.000 I
6.463 2.146 0.000 I
2.146 6.463 0.000 I
0.000 0.000 0.000 Y
4.304 4.304 0.000 Zn
8.608 4.304 3.033 Rb
4.304 8.608 3.033 Rb
```

No. 10
Compound: BaWN2
Source: the Alexandria database
Functional: PBE
Structure: relaxed

Output
The energy above the most stable polymorph in this dataset is 0 meV per atom. For the total energy, the calculation gives -8.38 eV/atom.

Structure (POSCAR):
```
BaWN2
1.0
-2.137 1.859 4.520
2.647 -3.707 2.776
4.367 2.435 4.211
Ba W N
2 2 4
Cartesian
0.255 -0.924 3.648 Ba
3.635 -1.098 5.318 Ba
0.000 0.000 0.000 W
1.243 1.685 6.190 W
-0.273 1.620 4.987 N
0.702 0.070 7.111 N
3.021 1.758 5.427 N
1.520 3.291 7.234 N
```

No. 11
Compound: SiMoRu2
Source: the Alexandria database
Functional: PBE
Structure: relaxed

Output
For the total energy, the calculation gives -8.89 eV/atom.

Structure (POSCAR):
```
SiMoRu2
1.0
-3.216 2.084 -1.123
0.360 -0.857 -2.621
-2.749 -4.488 -0.456
Mo Ru Si
1 2 1
Cartesian
-3.400 -2.967 -2.869 Mo
-0.005 -0.158 -0.279 Ru
-1.189 -2.514 -1.260 Ru
-2.205 -0.294 -1.331 Si
```

No. 12
Compound: Li17Nb18O54
Source: the Alexandria database
Functional: PBE
Structure: relaxed

Output
For the total energy, the calculation gives -7.87 eV/atom.

Structure (POSCAR):
```
Li17Nb18O54
1.0
-8.205 -2.761 2.659
-4.011 -1.596 -8.905
0.482 -11.840 -0.528
Li Nb O
17 18 54
Cartesian
-4.395 -8.414 -1.740 Li
-7.931 -11.062 -5.167 Li
-5.195 -12.046 -2.724 Li
-9.969 -6.459 -6.629 Li
-7.478 -12.103 0.300 Li
-8.723 -14.667 -6.161 Li
-9.524 -7.499 -1.139 Li
-6.720 -8.475 1.292 Li
-4.865 -7.388 -7.211 Li
-2.050 -8.334 -4.770 Li
-2.868 -1.173 0.226 Li
-4.072 -3.766 -6.228 Li
-5.622 -10.999 -8.201 Li
-6.401 -3.803 -3.191 Li
-3.637 -4.796 -0.780 Li
-7.171 -7.460 -4.202 Li
-8.720 -3.886 -0.115 Li
-3.523 -13.425 -9.412 Nb
-5.030 -9.909 -5.382 Nb
-2.296 -10.852 -2.951 Nb
-4.630 -10.907 0.073 Nb
-5.855 -13.494 -6.389 Nb
-6.654 -6.317 -1.371 Nb
-7.876 -8.880 -7.831 Nb
-8.233 -13.581 -3.311 Nb
-10.198 -8.966 -4.799 Nb
-7.414 -9.938 -2.357 Nb
-9.430 -5.351 -3.809 Nb
-1.533 -7.235 -1.961 Nb
-10.959 -12.571 -5.789 Nb
-3.553 -2.577 -3.431 Nb
-0.774 -3.611 -0.980 Nb
-7.105 -5.272 -6.848 Nb
-4.328 -6.275 -4.404 Nb
-5.877 -2.692 -0.393 Nb
-3.381 -12.605 -3.561 O
-1.303 -11.919 -1.712 O
-3.799 -10.415 -1.851 O
-6.883 -12.693 -8.129 O
-5.000 -11.810 -6.279 O
-4.925 -9.049 0.375 O
-7.332 -13.079 -5.276 O
-6.899 -9.932 -6.604 O
-6.431 -13.731 -2.646 O
-6.077 -10.597 -3.942 O
-9.388 -8.454 -6.755 O
-4.425 -12.905 -0.773 O
-8.480 -11.705 -3.042 O
-6.887 -14.118 0.196 O
-8.434 -9.132 -4.091 O
-6.419 -11.024 -1.148 O
-6.432 -8.317 -2.213 O
-10.490 -7.106 -4.529 O
-5.643 -11.639 1.510 O
-8.919 -9.518 -1.266 O
-3.817 -11.564 -9.127 O
-8.421 -6.443 -2.603 O
-7.970 -10.147 1.390 O
-9.871 -13.597 -4.638 O
-7.653 -7.038 0.085 O
-2.713 -2.300 -5.346 O
-9.991 -10.923 -5.666 O
-1.833 -5.372 -1.684 O
-9.134 -14.266 -1.806 O
-4.241 -9.392 -7.333 O
-1.793 -2.790 -2.710 O
-3.798 -6.291 -8.670 O
-3.308 -9.970 -4.625 O
-7.998 -4.742 1.818 O
-2.990 -6.913 -5.998 O
-2.273 -3.179 0.107 O
-1.315 -9.220 -2.791 O
-5.382 -8.029 -5.130 O
-5.343 -5.436 -6.143 O
-3.327 -7.342 -3.181 O
-4.999 -2.318 -7.438 O
-3.358 -4.658 -4.236 O
-7.409 -3.412 -6.553 O
-2.527 -7.953 -0.507 O
-5.838 -5.843 -3.323 O
-5.328 -2.718 -4.638 O
-4.886 -6.483 -0.680 O
-4.562 -3.360 -1.988 O
-6.897 -7.246 -7.710 O
-6.949 -4.463 -1.074 O
-4.883 -3.776 0.825 O
-8.102 -6.005 -5.401 O
-10.442 -4.520 -5.528 O
-8.469 -3.715 -3.634 O
```